(1)
An optimized crystal structure of As2C. Source: the Alexandria database, functional PBE-GGA.

abc: 14.5845 3.2810 5.3195
angles: 90.00 110.32 90.00
With the nearest neighbours (Å) after each atom.
Atoms (fractional coordinates):
1 As 0.0000 0.0000 0.0000  1 C 2.01
2 As 0.0031 0.5000 0.3440  1 C 2.03
3 As 0.2069 0.5000 0.9531  3 C 2.02-2.07
4 As 0.2214 0.0000 0.4646  3 C 2.01-2.08
5 As 0.5000 0.5000 0.0000  1 C 2.01
6 As 0.5031 0.0000 0.3440  1 C 2.03
7 As 0.7069 0.0000 0.9531  3 C 2.02-2.07
8 As 0.7214 0.5000 0.4646  3 C 2.01-2.08
9 C 0.1447 0.0000 0.0692  4 As 2.01-2.07
10 C 0.1494 0.5000 0.5485  4 As 2.02-2.08
11 C 0.6447 0.5000 0.0692  4 As 2.01-2.07
12 C 0.6494 0.0000 0.5485  4 As 2.02-2.08

Calculated total energy: -16.80 eV/f.u.
Energy of formation: 0.57 eV/atom
Polymorph energy (0 for the lowest one): 77.7 meV per atom
Symmetry: No. 8

***

(2)
An optimized crystal structure of As2C3. Source: the Alexandria database, functional PBE-GGA.

abc: 6.2310 5.7999 6.6531
angles: 59.58 53.39 67.04
With the nearest neighbours (Å) after each atom.
Atoms (fractional coordinates):
1 As 0.2125 0.7875 0.3906  2 C 1.98-1.99
2 As 0.6406 0.8594 0.4625  2 C 1.98-1.99
3 As 0.7875 0.2125 0.6094  2 C 1.98-1.99
4 As 0.8594 0.6406 0.0375  2 C 1.98-1.99
5 C 0.1005 0.4901 0.7470  1 C 1.31
6 C 0.2662 0.2662 0.7338  2 C 1.31
7 C 0.4901 0.1005 0.6624  1 C 1.31
8 C 0.5030 0.5876 0.1495  1 C 1.31
9 C 0.5162 0.5162 0.9838  2 C 1.31
10 C 0.5876 0.5030 0.7599  1 C 1.31

Calculated total energy: -32.46 eV/f.u.
Energy of formation: 0.90 eV/atom
Polymorph energy (0 for the lowest one): 0.0 meV per atom
DOS at the Fermi energy: 1.1 states/eV per cell
Symmetry: No. 43

***

(3)
An optimized crystal structure of As2C. Source: the Alexandria database, functional PBE-GGA.

abc: 4.5309 4.5309 2.6542
angles: 90.00 90.00 120.00
With the nearest neighbours (Å) after each atom.
Atoms (fractional coordinates):
1 As 0.3333 0.6667 0.0000  3 C 2.62, 5 As 2.62-2.65
2 As 0.6667 0.3333 0.0000  3 C 2.62, 5 As 2.62-2.65
3 C 0.0000 0.0000 0.0000  6 As 2.62, 2 C 2.65

Calculated total energy: -13.19 eV/f.u.
Energy of formation: 1.78 eV/atom
Polymorph energy (0 for the lowest one): 1280.8 meV per atom
DOS at the Fermi energy: 1.8 states/eV per cell
Symmetry: No. 191

***

(4)
An optimized crystal structure of As2C. Source: the Alexandria database, functional PBE-GGA.

abc: 2.9912 2.9912 19.2951
angles: 90.00 90.00 120.00
With the nearest neighbours (Å) after each atom.
Atoms (fractional coordinates):
1 As 0.0000 0.0000 0.2374  3 C 2.20
2 As 0.0000 0.0000 0.7626  3 C 2.20
3 As 0.3333 0.6667 0.4293  3 C 2.20
4 As 0.3333 0.6667 0.9040  3 C 2.20
5 As 0.6667 0.3333 0.0960  3 C 2.20
6 As 0.6667 0.3333 0.5707  3 C 2.20
7 C 0.0000 0.0000 0.5000  6 As 2.20
8 C 0.3333 0.6667 0.1667  6 As 2.20
9 C 0.6667 0.3333 0.8333  6 As 2.20

Calculated total energy: -15.13 eV/f.u.
Energy of formation: 1.13 eV/atom
Polymorph energy (0 for the lowest one): 635.7 meV per atom
DOS at the Fermi energy: 1.6 states/eV per cell
Symmetry: No. 166

***

(5)
An optimized crystal structure of AsC. Source: the Alexandria database, functional PBE-GGA.

abc: 3.1224 3.1224 23.9141
angles: 90.00 90.00 120.00
With the nearest neighbours (Å) after each atom.
Atoms (fractional coordinates):
1 As 0.0000 0.0000 0.2380  3 C 2.04
2 As 0.0000 0.0000 0.7620  3 C 2.04
3 As 0.3333 0.6667 0.4286  3 C 2.04
4 As 0.3333 0.6667 0.9047  3 C 2.04
5 As 0.6667 0.3333 0.0953  3 C 2.04
6 As 0.6667 0.3333 0.5714  3 C 2.04
7 C 0.0000 0.0000 0.4687  1 C 1.50
8 C 0.0000 0.0000 0.5313  1 C 1.50
9 C 0.3333 0.6667 0.1354  1 C 1.50
10 C 0.3333 0.6667 0.1979  1 C 1.50
11 C 0.6667 0.3333 0.8021  1 C 1.50
12 C 0.6667 0.3333 0.8646  1 C 1.50

Calculated total energy: -12.60 eV/f.u.
Energy of formation: 0.64 eV/atom
Polymorph energy (0 for the lowest one): 97.8 meV per atom
Symmetry: No. 166

***

(6)
An optimized crystal structure of AsC. Source: the Alexandria database, functional PBE-GGA.

abc: 5.4838 5.4838 8.0724
angles: 90.00 90.00 120.00
With the nearest neighbours (Å) after each atom.
Atoms (fractional coordinates):
1 As 0.0000 0.0000 0.1958  1 C 1.82
2 As 0.0000 0.0000 0.8042  1 C 1.82
3 As 0.3333 0.6667 0.4709  1 C 1.82
4 As 0.3333 0.6667 0.8624  1 C 1.82
5 As 0.6667 0.3333 0.1376  1 C 1.82
6 As 0.6667 0.3333 0.5291  1 C 1.82
7 C 0.0000 0.0000 0.4209  1 C 1.28
8 C 0.0000 0.0000 0.5791  1 C 1.28
9 C 0.3333 0.6667 0.0876  1 C 1.28
10 C 0.3333 0.6667 0.2458  1 C 1.28
11 C 0.6667 0.3333 0.7542  1 C 1.28
12 C 0.6667 0.3333 0.9124  1 C 1.28

Calculated total energy: -11.52 eV/f.u.
Energy of formation: 1.18 eV/atom
Polymorph energy (0 for the lowest one): 637.4 meV per atom
DOS at the Fermi energy: 4.9 states/eV per cell
Symmetry: No. 166

***

(7)
An optimized crystal structure of AsC. Source: the Alexandria database, functional PBE-GGA.

abc: 3.1149 3.1149 5.5785
angles: 90.00 90.00 90.00
With the nearest neighbours (Å) after each atom.
Atoms (fractional coordinates):
1 As 0.2500 0.2500 0.1992  5 C 2.02-2.21
2 As 0.7500 0.7500 0.8008  5 C 2.02-2.21
3 C 0.2500 0.2500 0.8377  5 As 2.02-2.21
4 C 0.7500 0.7500 0.1623  5 As 2.02-2.21

Calculated total energy: -10.92 eV/f.u.
Energy of formation: 1.48 eV/atom
Polymorph energy (0 for the lowest one): 938.3 meV per atom
DOS at the Fermi energy: 0.8 states/eV per cell
Symmetry: No. 129

***

(8)
An optimized crystal structure of AsC. Source: the Alexandria database, functional PBE-GGA.

abc: 5.3871 3.1101 8.1672
angles: 90.00 102.95 90.00
With the nearest neighbours (Å) after each atom.
Atoms (fractional coordinates):
1 As 0.0000 0.0000 0.0000  3 C 2.04
2 As 0.1476 0.0000 0.4344  3 C 2.04
3 As 0.5000 0.5000 0.0000  3 C 2.04
4 As 0.6476 0.5000 0.4344  3 C 2.04
5 C 0.3745 0.0000 0.1213  1 C 1.53
6 C 0.4397 0.0000 0.3131  1 C 1.53
7 C 0.8745 0.5000 0.1213  1 C 1.53
8 C 0.9397 0.5000 0.3131  1 C 1.53

Calculated total energy: -12.55 eV/f.u.
Energy of formation: 0.66 eV/atom
Polymorph energy (0 for the lowest one): 123.2 meV per atom
Symmetry: No. 8

***

(9)
An optimized crystal structure of AsC4. Source: the Alexandria database, functional PBE-GGA.

abc: 5.0371 5.0371 8.2731
angles: 90.00 90.00 90.00
With the nearest neighbours (Å) after each atom.
Atoms (fractional coordinates):
1 As 0.0000 0.0000 0.0000  4 C 1.90
2 As 0.5000 0.5000 0.5000  4 C 1.90
3 C 0.0000 0.3772 0.0000  1 C 1.24
4 C 0.0000 0.6228 0.0000  1 C 1.24
5 C 0.1228 0.5000 0.5000  1 C 1.24
6 C 0.3772 0.0000 0.0000  1 C 1.24
7 C 0.5000 0.1228 0.5000  1 C 1.24
8 C 0.5000 0.8772 0.5000  1 C 1.24
9 C 0.6228 0.0000 0.0000  1 C 1.24
10 C 0.8772 0.5000 0.5000  1 C 1.24

Calculated total energy: -32.43 eV/f.u.
Energy of formation: 1.82 eV/atom
Polymorph energy (0 for the lowest one): 601.2 meV per atom
DOS at the Fermi energy: 1.4 states/eV per cell
Symmetry: No. 139

***

(10)
An optimized crystal structure of As2C3. Source: the Alexandria database, functional PBE-GGA.

abc: 3.1208 3.1208 19.5949
angles: 90.00 90.00 120.00
With the nearest neighbours (Å) after each atom.
Atoms (fractional coordinates):
1 As 0.0000 0.0000 0.0928  3 C 2.01
2 As 0.0000 0.0000 0.9072  3 C 2.01
3 As 0.3333 0.6667 0.5739  3 C 2.01
4 As 0.3333 0.6667 0.7595  3 C 2.01
5 As 0.6667 0.3333 0.2405  3 C 2.01
6 As 0.6667 0.3333 0.4261  3 C 2.01
7 C 0.0000 0.0000 0.2857  3 As 2.01
8 C 0.0000 0.0000 0.5000  6 As 2.31
9 C 0.0000 0.0000 0.7143  3 As 2.01
10 C 0.3333 0.6667 0.1667  6 As 2.31
11 C 0.3333 0.6667 0.3810  3 As 2.01
12 C 0.3333 0.6667 0.9524  3 As 2.01
13 C 0.6667 0.3333 0.0476  3 As 2.01
14 C 0.6667 0.3333 0.6190  3 As 2.01
15 C 0.6667 0.3333 0.8333  6 As 2.31

Calculated total energy: -27.34 eV/f.u.
Energy of formation: 1.93 eV/atom
Polymorph energy (0 for the lowest one): 1023.7 meV per atom
DOS at the Fermi energy: 6.2 states/eV per cell
Symmetry: No. 166

***

(11)
An optimized crystal structure of AsC. Source: the Alexandria database, functional PBE-GGA.

abc: 3.1463 3.1463 7.6067
angles: 90.00 90.00 120.00
With the nearest neighbours (Å) after each atom.
Atoms (fractional coordinates):
1 As 0.3333 0.6667 0.2198  3 C 1.95
2 As 0.6667 0.3333 0.7802  3 C 1.95
3 C 0.3333 0.6667 0.6870  3 As 1.95
4 C 0.6667 0.3333 0.3130  3 As 1.95

Calculated total energy: -11.22 eV/f.u.
Energy of formation: 1.33 eV/atom
Polymorph energy (0 for the lowest one): 786.1 meV per atom
DOS at the Fermi energy: 2.1 states/eV per cell
Symmetry: No. 164

***

(12)
An optimized crystal structure of CaAsC2. Source: the Alexandria database, functional PBE-GGA.

abc: 5.8180 5.8180 6.8553
angles: 90.00 90.00 90.00
With the nearest neighbours (Å) after each atom.
Atoms (fractional coordinates):
1 Ca 0.0000 0.0000 0.0000  4 C 2.56
2 Ca 0.0000 0.5000 0.2500  4 C 2.56
3 Ca 0.5000 0.0000 0.7500  4 C 2.56
4 Ca 0.5000 0.5000 0.5000  4 C 2.56
5 As 0.0000 0.0000 0.5000  4 C 1.96
6 As 0.0000 0.5000 0.7500  4 C 1.96
7 As 0.5000 0.0000 0.2500  4 C 1.96
8 As 0.5000 0.5000 0.0000  4 C 1.96
9 C 0.1696 0.2500 0.6250  2 As 1.96
10 C 0.2500 0.6696 0.8750  2 As 1.96
11 C 0.2500 0.8304 0.3750  2 As 1.96
12 C 0.3304 0.2500 0.1250  2 As 1.96
13 C 0.6696 0.7500 0.1250  2 As 1.96
14 C 0.7500 0.1696 0.3750  2 As 1.96
15 C 0.7500 0.3304 0.8750  2 As 1.96
16 C 0.8304 0.7500 0.6250  2 As 1.96

Calculated total energy: -22.01 eV/f.u.
Energy of formation: 0.77 eV/atom
DOS at the Fermi energy: 7.3 states/eV per cell
Symmetry: No. 122

***

(13)
An optimized crystal structure of Ca3AsC. Source: the Alexandria database, functional PBE-GGA.

abc: 4.8930 4.8930 4.8930
angles: 90.00 90.00 90.00
With the nearest neighbours (Å) after each atom.
Atoms (fractional coordinates):
1 Ca 0.0000 0.0000 0.5000  2 C 2.45
2 Ca 0.0000 0.5000 0.0000  2 C 2.45
3 Ca 0.5000 0.0000 0.0000  2 C 2.45
4 As 0.5000 0.5000 0.5000  12 Ca 3.46
5 C 0.0000 0.0000 0.0000  6 Ca 2.45

Calculated total energy: -21.53 eV/f.u.
Energy of formation: -0.33 eV/atom
Polymorph energy (0 for the lowest one): 0.0 meV per atom
DOS at the Fermi energy: 3.4 states/eV per cell
Symmetry: No. 221